[1]
{"formula": "KPaPb2", "functional": "PBE", "state": "relaxed", "space_group": "P4/mmm (123)", "delta_e_f_ev_per_fu": -0.08, "magmom_total_mub_per_cell": 1.2, "lattice": [[-2.7684, -1.8635, 0.7605], [2.0127, -2.5567, 1.0618], [-0.0304, 3.9740, 9.6266]], "species": ["Pa", "Pb", "K", "Pb"], "frac_coords": [[0.5000, 0.5000, 0.0000], [0.0000, 0.0000, 0.7691], [0.5000, 0.5000, 0.5000], [0.0000, 0.0000, 0.2309]]}


[2]
{"formula": "KPaPb", "functional": "PBE", "state": "relaxed", "space_group": "C2/m (12)", "delta_e_f_ev_per_fu": 0.30, "magmom_total_mub_per_cell": 0.0, "lattice": [[3.2967, 0.0000, 0.0000], [-1.6484, 13.1884, -0.7151], [0.0000, 0.3913, 5.0019]], "species": ["Pa", "Pb", "Pa", "K", "K", "Pb"], "frac_coords": [[0.5274, 0.0547, 0.2764], [0.9131, 0.8263, 0.2308], [0.4726, 0.9453, 0.7236], [0.6756, 0.3511, 0.2594], [0.3244, 0.6489, 0.7406], [0.0869, 0.1737, 0.7692]]}


[3]
{"formula": "KPaPb2", "functional": "PBE", "state": "relaxed", "space_group": "R-3m (166)", "delta_e_f_ev_per_fu": 0.60, "magmom_total_mub_per_cell": 0.0, "lattice": [[-3.1103, 1.3967, -0.3918], [-2.2946, -1.4773, -2.0809], [-6.0625, -6.8404, 8.7114]], "species": ["Pa", "Pb", "Pb", "K"], "frac_coords": [[0.5000, 0.5000, 0.5000], [0.9083, 0.9083, 0.2750], [0.0917, 0.0917, 0.7250], [0.0000, 0.0000, 0.0000]]}


[4]
{"formula": "K3PaPb2S6", "functional": "PBE", "state": "relaxed", "raw_formation_energy_ev_per_atom": -1.23, "space_group": "C2/m (12)", "magmom_total_mub_per_cell": 0.0, "lattice": [[-5.3086, 1.6141, 4.8424], [-1.0767, -5.2918, -5.0072], [4.8514, -3.6896, 4.6714]], "species": ["S", "S", "Pb", "Pa", "S", "Pb", "S", "K", "K", "S", "K", "S"], "frac_coords": [[0.3704, 0.0692, 0.2077], [0.0692, 0.3704, 0.2077], [0.6656, 0.3344, 0.0000], [0.0000, 0.0000, 0.0000], [0.6296, 0.9308, 0.7923], [0.3344, 0.6656, 0.0000], [0.7700, 0.7700, 0.2077], [0.1739, 0.8261, 0.5000], [0.5000, 0.5000, 0.5000], [0.9308, 0.6296, 0.7923], [0.8261, 0.1739, 0.5000], [0.2300, 0.2300, 0.7923]]}


[5]
{"formula": "K2PaPb2S6", "functional": "PBE", "state": "relaxed", "raw_formation_energy_ev_per_atom": -1.07, "space_group": "C2/m (12)", "magmom_total_mub_per_cell": 0.0, "lattice": [[7.1052, 0.0576, 0.0485], [-3.4617, 6.2052, 0.0485], [-1.3181, -2.2657, 7.4940]], "species": ["Pa", "K", "S", "Pb", "Pb", "K", "S", "S", "S", "S", "S"], "frac_coords": [[0.0000, 0.0000, 0.5000], [0.1749, 0.8251, 0.0000], [0.9310, 0.6214, 0.2961], [0.3324, 0.6676, 0.5000], [0.6676, 0.3324, 0.5000], [0.8251, 0.1749, 0.0000], [0.0690, 0.3786, 0.7039], [0.7706, 0.7706, 0.7018], [0.2294, 0.2294, 0.2982], [0.6214, 0.9310, 0.2961], [0.3786, 0.0690, 0.7039]]}


[6]
{"formula": "KPaPbS4", "functional": "PBE", "state": "relaxed", "raw_formation_energy_ev_per_atom": -1.26, "space_group": "Imma (74)", "magmom_total_mub_per_cell": 0.0, "lattice": [[-7.7862, 0.1274, 4.0215], [0.5137, -0.9476, -8.5258], [2.4501, -6.2793, 4.9426]], "species": ["S", "S", "Pb", "Pb", "K", "S", "S", "Pa", "S", "K", "S", "S", "S", "Pa"], "frac_coords": [[0.7031, 0.0111, 0.2555], [0.7113, 0.4225, 0.6949], [0.5000, 0.5000, 0.5000], [0.0000, 0.5000, 0.5000], [0.1229, 0.2458, 0.8729], [0.2887, 0.5775, 0.7723], [0.6920, 0.9889, 0.7445], [0.5000, 0.0000, 0.5000], [0.2887, 0.5775, 0.3051], [0.8771, 0.7542, 0.1271], [0.2969, 0.9889, 0.7445], [0.7113, 0.4225, 0.2277], [0.3080, 0.0111, 0.2555], [0.5000, 0.0000, 0.0000]]}


[7]
{"formula": "KPaPbSe4", "functional": "PBE", "state": "relaxed", "raw_formation_energy_ev_per_atom": -1.13, "space_group": "Imma (74)", "magmom_total_mub_per_cell": 0.0, "lattice": [[9.2102, 0.0000, 0.0000], [-4.6051, 7.6325, -0.4463], [0.0000, -4.5170, 7.4283]], "species": ["Se", "Se", "Se", "Se", "K", "Se", "K", "Pa", "Pb", "Pa", "Se", "Se", "Pb", "Se"], "frac_coords": [[0.3051, 0.0081, 0.2541], [0.2842, 0.5684, 0.7665], [0.7030, 0.0081, 0.2541], [0.7158, 0.4316, 0.2335], [0.1190, 0.2381, 0.8690], [0.7158, 0.4316, 0.6981], [0.8810, 0.7619, 0.1310], [0.5000, 0.0000, 0.5000], [0.0000, 0.5000, 0.5000], [0.5000, 0.0000, 0.0000], [0.2842, 0.5684, 0.3019], [0.2970, 0.9919, 0.7459], [0.5000, 0.5000, 0.5000], [0.6949, 0.9919, 0.7459]]}


[8]
{"formula": "K3Pa3Te8Pb", "functional": "PBE", "state": "relaxed", "raw_formation_energy_ev_per_atom": -0.88, "space_group": "R-3m (166)", "magmom_total_mub_per_cell": 4.0, "lattice": [[-2.6884, 7.9499, 3.3003], [-0.5057, -7.4100, 5.1153], [8.9205, 3.7178, -1.6841]], "species": ["Te", "Te", "Pb", "Pa", "Pa", "K", "Pa", "Te", "K", "Te", "Te", "Te", "Te", "Te", "K"], "frac_coords": [[0.2466, 0.4932, 0.7133], [0.7534, 0.0333, 0.2868], [0.0000, 0.0000, 0.5000], [0.5000, 0.0000, 0.5000], [0.0000, 0.5000, 0.5000], [0.0000, 0.0000, 0.0000], [0.5000, 0.5000, 0.5000], [0.7534, 0.5068, 0.2867], [0.5000, 0.5000, 0.0000], [0.7374, 0.4747, 0.7121], [0.2799, 0.0333, 0.2868], [0.2626, 0.5253, 0.2879], [0.2466, 0.9667, 0.7132], [0.7201, 0.9667, 0.7132], [0.0000, 0.5000, 0.0000]]}


[9]
{"formula": "K2PaTe6Pb3", "functional": "PBE", "state": "relaxed", "raw_formation_energy_ev_per_atom": -0.70, "space_group": "C2/m (12)", "magmom_total_mub_per_cell": 1.0, "lattice": [[-3.4069, -7.2308, 2.0566], [6.4366, 0.1940, -5.1627], [3.7328, 1.7711, 6.9113]], "species": ["Pb", "Te", "Pb", "K", "Te", "Pb", "Te", "Te", "Te", "Te", "K", "Pa"], "frac_coords": [[0.5000, 0.5000, 0.5000], [0.6168, 0.9160, 0.7514], [0.8396, 0.1604, 0.5000], [0.6681, 0.3319, 0.0000], [0.3832, 0.0840, 0.2486], [0.1604, 0.8396, 0.5000], [0.2200, 0.2200, 0.7452], [0.7800, 0.7800, 0.2548], [0.9160, 0.6168, 0.7514], [0.0840, 0.3832, 0.2486], [0.3319, 0.6681, 0.0000], [0.0000, 0.0000, 0.0000]]}


[10]
{"formula": "K2PaPdS4", "functional": "PBE", "state": "relaxed", "raw_formation_energy_ev_per_atom": -1.03, "space_group": "I-4 (82)", "magmom_total_mub_per_cell": 0.3, "lattice": [[6.5993, 0.2033, 0.3114], [-2.6280, 6.0568, -0.3114], [-2.6280, -2.7225, 5.4194]], "species": ["S", "Pa", "S", "K", "Pd", "K", "S", "S"], "frac_coords": [[0.8988, 0.5969, 0.1601], [0.5000, 0.2500, 0.7500], [0.5632, 0.3019, 0.4031], [0.5000, 0.7500, 0.2500], [0.0000, 0.5000, 0.5000], [0.0000, 0.0000, 0.0000], [0.1012, 0.2613, 0.6981], [0.4368, 0.8399, 0.7387]]}


[11]
{"formula": "K3Pa2PdS6", "functional": "PBE", "state": "relaxed", "raw_formation_energy_ev_per_atom": -1.33, "space_group": "C2/m (12)", "magmom_total_mub_per_cell": 1.1, "lattice": [[7.0513, -0.1591, 0.0272], [-3.6617, 6.0280, 0.0272], [-1.1017, -1.9076, 7.3513]], "species": ["Pa", "K", "S", "K", "Pd", "K", "S", "S", "S", "S", "S", "Pa"], "frac_coords": [[0.6640, 0.3360, 0.0000], [0.1535, 0.8465, 0.5000], [0.7314, 0.7314, 0.1888], [0.5000, 0.5000, 0.5000], [0.0000, 0.0000, 0.0000], [0.8465, 0.1535, 0.5000], [0.2686, 0.2686, 0.8112], [0.0635, 0.4342, 0.2115], [0.4342, 0.0635, 0.2115], [0.9365, 0.5658, 0.7885], [0.5658, 0.9365, 0.7885], [0.3360, 0.6640, 0.0000]]}


[12]
{"formula": "K2PaPd2S4", "functional": "PBE", "state": "relaxed", "raw_formation_energy_ev_per_atom": -1.15, "space_group": "C2/m (12)", "magmom_total_mub_per_cell": 0.0, "lattice": [[-1.9358, -3.5081, -0.1774], [3.3753, -1.5244, -6.6876], [5.0757, -0.7865, 5.5044]], "species": ["Pd", "S", "K", "S", "Pa", "S", "K", "S", "Pd"], "frac_coords": [[0.3163, 0.9904, 0.6326], [0.8086, 0.8119, 0.6172], [0.1361, 0.5724, 0.2721], [0.1914, 0.1881, 0.3828], [0.0000, 0.0000, 0.0000], [0.4856, 0.2322, 0.9712], [0.8639, 0.4276, 0.7279], [0.5144, 0.7678, 0.0288], [0.6837, 0.0096, 0.3674]]}


| no. | energy (eV/atom) |
| --- | --- |
| 1 | -4.522 |
| 2 | -4.668 |
| 3 | -4.354 |
| 4 | -4.978 |
| 5 | -5.057 |
| 6 | -5.665 |
| 7 | -5.168 |
| 8 | -4.919 |
| 9 | -4.169 |
| 10 | -5.208 |
| 11 | -5.682 |
| 12 | -5.442 |